1.
DFT (PBE) results for a geometry-optimized PrSi2OsRh structure.

Unit cell a=4.182 b=4.182 c=10.035 alpha=90.00 beta=90.00 gamma=90.00
Space group I-4m2 (No. 119)
Inequivalent atoms, fractional coordinates:
Pr 0.000 0.000 0.000 x2
Si 0.000 0.000 0.370 x4
Os 0.000 0.500 0.250 x2
Rh 0.000 0.500 0.750 x2

Results
- crystal system = tetragonal
- final energy (eV/f.u.) = -38.710



2.
DFT (PBE) results for a geometry-optimized PrSi3OsRu structure.

Unit cell a=7.516 b=11.193 c=5.591 alpha=90.00 beta=90.00 gamma=90.00
Space group Cmcm (No. 63)
Inequivalent atoms, fractional coordinates:
Pr 0.000 0.249 0.250 x4
Si 0.000 0.250 0.750 x4
Si 0.248 0.500 0.000 x8
Os 0.000 0.052 0.750 x4
Ru 0.000 0.445 0.750 x4

Results
- crystal system = orthorhombic
- final energy (eV/f.u.) = -44.036



3.
DFT (PBE) results for a geometry-optimized PrTaOs2Ru structure.

Unit cell a=4.274 b=4.274 c=10.895 alpha=90.00 beta=90.00 gamma=90.00
Space group I-4m2 (No. 119)
Inequivalent atoms, fractional coordinates:
Pr 0.000 0.000 0.000 x2
Ta 0.000 0.500 0.250 x2
Os 0.000 0.000 0.385 x4
Ru 0.000 0.500 0.750 x2

Results
- crystal system = tetragonal
- calculated formation energy (kJ/mol of formula units) = -28



4.
DFT (PBE) results for a geometry-optimized PrOsS structure.

Unit cell a=11.272 b=3.341 c=6.566 alpha=90.00 beta=90.00 gamma=90.00
Space group Amm2 (No. 38)
Inequivalent atoms, fractional coordinates:
Pr 0.187 0.000 0.000 x4
Os 0.000 0.000 0.314 x2
Os 0.500 0.000 0.034 x2
S 0.377 0.000 0.324 x4

Results
- crystal system = orthorhombic
- final energy (eV/f.u.) = -20.075



5.
DFT (PBE) results for a geometry-optimized PrSb12Os4 structure.

Unit cell a=9.420 b=9.420 c=9.420 alpha=90.00 beta=90.00 gamma=90.00
Space group Im-3 (No. 204)
Inequivalent atoms, fractional coordinates:
Pr 0.000 0.000 0.000 x2
Sb 0.000 0.157 0.339 x24
Os 0.250 0.250 0.250 x8

Results
- crystal system = cubic
- final energy (eV/f.u.) = -102.019



6.
DFT (PBE) results for a geometry-optimized Pr4SbOs structure.

Unit cell a=9.177 b=14.008 c=6.403 alpha=90.00 beta=115.00 gamma=90.00
Space group C2/c (No. 15)
Inequivalent atoms, fractional coordinates:
Pr 0.112 0.173 0.070 x8
Pr 0.218 0.431 0.336 x8
Sb 0.000 0.373 0.750 x4
Os 0.000 0.000 0.250 x4

Results
- crystal system = monoclinic
- final energy (eV/f.u.) = -37.046



7.
DFT (PBE) results for a geometry-optimized PrSbOs structure.

Unit cell a=4.285 b=4.553 c=8.244 alpha=78.54 beta=89.27 gamma=89.87
Space group P-1 (No. 2)
Inequivalent atoms, fractional coordinates:
Pr 0.246 0.419 0.205 x2
Sb 0.257 0.165 0.602 x2
Os 0.252 0.019 0.930 x2

Results
- crystal system = triclinic
- final energy (eV/f.u.) = -21.169



8.
DFT (PBE) results for a geometry-optimized PrScOs structure.

Unit cell a=6.730 b=6.611 c=8.247 alpha=90.00 beta=123.45 gamma=90.00
Space group P2_1/c (No. 14)
Inequivalent atoms, fractional coordinates:
Pr 0.200 0.148 0.421 x4
Sc 0.301 0.649 0.598 x4
Os 0.307 0.540 0.296 x4

Results
- crystal system = monoclinic
- calculated formation energy (kJ/mol of formula units) = -12



9.
DFT (PBE) results for a geometry-optimized PrScOs structure.

Unit cell a=3.349 b=3.349 c=12.944 alpha=90.00 beta=90.00 gamma=90.00
Space group I4mm (No. 107)
Inequivalent atoms, fractional coordinates:
Pr 0.000 0.000 0.000 x2
Sc 0.000 0.000 0.255 x2
Os 0.000 0.000 0.646 x2

Results
- crystal system = tetragonal
- calculated formation energy (kJ/mol of formula units) = -41



10.
DFT (PBE) results for a geometry-optimized PrScOs structure.

Unit cell a=6.706 b=6.706 c=6.706 alpha=90.00 beta=90.00 gamma=90.00
Space group F-43m (No. 216)
Inequivalent atoms, fractional coordinates:
Pr 0.000 0.000 0.000 x4
Sc 0.000 0.000 0.500 x4
Os 0.250 0.250 0.750 x4

Results
- crystal system = cubic
- calculated formation energy (kJ/mol of formula units) = -17



11.
DFT (PBE) results for a geometry-optimized Pr2ScOs structure.

Unit cell a=3.4663 b=3.4663 c=32.2998 alpha=90.00 beta=90.00 gamma=120.00
Space group R-3m (No. 166, hexagonal axes)
Inequivalent atoms, fractional coordinates:
Pr 0.0000 0.0000 0.1012 x6
Sc 0.0000 0.0000 0.0000 x3
Os 0.0000 0.0000 0.5000 x3

Results
- crystal system = trigonal
- calculated formation energy (kJ/mol of formula units) = 189



12.
DFT (PBE) results for a geometry-optimized PrSc2Os structure.

Unit cell a=3.288 b=3.288 c=8.656 alpha=90.00 beta=90.00 gamma=90.00
Space group P4/mmm (No. 123)
Inequivalent atoms, fractional coordinates:
Pr 0.000 0.000 0.000 x1
Sc 0.500 0.500 0.325 x2
Os 0.000 0.000 0.500 x1

Results
- crystal system = tetragonal
- calculated formation energy (kJ/mol of formula units) = -99



13.
DFT (PBE) results for a geometry-optimized PrScSi2Os structure.

Unit cell a=4.097 b=4.097 c=11.325 alpha=90.00 beta=90.00 gamma=90.00
Space group I-4m2 (No. 119)
Inequivalent atoms, fractional coordinates:
Pr 0.000 0.000 0.000 x2
Sc 0.000 0.500 0.250 x2
Si 0.000 0.000 0.392 x4
Os 0.000 0.500 0.750 x2

Results
- crystal system = tetragonal
- final energy (eV/f.u.) = -36.651



14.
DFT (PBE) results for a geometry-optimized Pr2OsSe structure.

Unit cell a=4.2021 b=4.2021 c=21.6209 alpha=90.00 beta=90.00 gamma=120.00
Space group R-3m (No. 166, hexagonal axes)
Inequivalent atoms, fractional coordinates:
Pr 0.0000 0.0000 0.2424 x6
Os 0.0000 0.0000 0.5000 x3
Se 0.0000 0.0000 0.0000 x3

Results
- crystal system = trigonal
- final energy (eV/f.u.) = -26.812



15.
DFT (PBE) results for a geometry-optimized Pr3Si3Os structure.

Unit cell a=11.244 b=4.339 c=14.081 alpha=90.00 beta=112.15 gamma=90.00
Space group C2/m (No. 12)
Inequivalent atoms, fractional coordinates:
Pr 0.017 0.000 0.375 x4
Pr 0.102 0.000 0.920 x4
Pr 0.248 0.000 0.228 x4
Si 0.063 0.500 0.242 x4
Si 0.104 0.500 0.074 x4
Si 0.151 0.500 0.545 x4
Os 0.243 0.500 0.415 x4

Results
- crystal system = monoclinic
- final energy (eV/f.u.) = -46.598



16.
DFT (PBE) results for a geometry-optimized PrSi2Os structure.

Unit cell a=4.8236 b=4.8236 c=10.7638 alpha=90.00 beta=90.00 gamma=120.00
Space group R-3m (No. 166, hexagonal axes)
Inequivalent atoms, fractional coordinates:
Pr 0.0000 0.0000 0.0000 x3
Si 0.0000 0.0000 0.2647 x6
Os 0.0000 0.0000 0.5000 x3

Results
- crystal system = trigonal
- final energy (eV/f.u.) = -26.892



17.
DFT (PBE) results for a geometry-optimized Pr3Si4Os2 structure.

Unit cell a=11.281 b=4.239 c=8.244 alpha=90.00 beta=108.47 gamma=90.00
Space group C2/m (No. 12)
Inequivalent atoms, fractional coordinates:
Pr 0.000 0.000 0.000 x2
Pr 0.108 0.500 0.698 x4
Si 0.113 0.000 0.405 x4
Si 0.221 0.500 0.081 x4
Os 0.192 0.500 0.357 x4

Results
- crystal system = monoclinic
- final energy (eV/f.u.) = -64.417



18.
DFT (PBE) results for a geometry-optimized PrSi2Os2 structure.

Unit cell a=4.213 b=4.213 c=9.950 alpha=90.00 beta=90.00 gamma=90.00
Space group I4/mmm (No. 139)
Inequivalent atoms, fractional coordinates:
Pr 0.000 0.000 0.000 x2
Si 0.000 0.000 0.367 x4
Os 0.000 0.500 0.250 x4

Results
- crystal system = tetragonal
- final energy (eV/f.u.) = -41.511



19.
DFT (PBE) results for a geometry-optimized Pr2Si3Os2 structure.

Unit cell a=11.196 b=4.359 c=7.454 alpha=90.00 beta=128.24 gamma=90.00
Space group C2/m (No. 12)
Inequivalent atoms, fractional coordinates:
Pr 0.068 0.000 0.309 x4
Si 0.000 0.500 0.500 x2
Si 0.160 0.500 0.098 x4
Os 0.227 0.500 0.844 x4

Results
- crystal system = monoclinic
- final energy (eV/f.u.) = -52.787



20.
DFT (PBE) results for a geometry-optimized PrSi2Os structure.

Unit cell a=7.130 b=4.169 c=10.140 alpha=90.00 beta=90.00 gamma=90.00
Space group Pnma (No. 62)
Inequivalent atoms, fractional coordinates:
Pr 0.151 0.250 0.123 x4
Si 0.156 0.250 0.813 x4
Si 0.185 0.250 0.421 x4
Os 0.014 0.750 0.389 x4

Results
- crystal system = orthorhombic
- final energy (eV/f.u.) = -29.539